# 1
Entry from the Open Quantum Materials Database: YGeAuO3 after structural relaxation (PBE-GGA).

Geometry as CIF:
```
data_YGeAuO3
_symmetry_space_group_name_H-M 'C m c m'
_symmetry_Int_Tables_number 63
_symmetry_space_group_name_Hall '-C 2c 2'
_cell_length_a 3.954
_cell_length_b 9.738
_cell_length_c 8.562
_cell_angle_alpha 90.00
_cell_angle_beta 90.00
_cell_angle_gamma 90.00
loop_
_atom_site_label
_atom_site_fract_x
_atom_site_fract_y
_atom_site_fract_z
Y1 0.000 0.000 0.000
Ge1 0.000 0.323 0.250
Au1 0.000 0.418 0.750
O1 0.000 0.137 0.750
O2 0.000 0.205 0.093
```

Values from the calculation:
VASP energy = -0.230 hartree per atom


# 2
Entry from the Open Quantum Materials Database: NaHoNO after structural relaxation (PBE-GGA).

Geometry as CIF:
```
data_NaHoNO
_symmetry_space_group_name_H-M 'P c a 21'
_symmetry_Int_Tables_number 29
_symmetry_space_group_name_Hall 'P 2c -2ac'
_cell_length_a 6.720
_cell_length_b 8.074
_cell_length_c 4.785
_cell_angle_alpha 90.00
_cell_angle_beta 90.00
_cell_angle_gamma 90.00
loop_
_atom_site_label
_atom_site_fract_x
_atom_site_fract_y
_atom_site_fract_z
Na1 0.095 0.103 0.000
Ho1 0.068 0.640 0.996
N1 0.098 0.610 0.496
O1 0.074 0.138 0.501
```

Values from the calculation:
ΔE to the lowest computed polymorph = 0.091 eV/atom


# 3
Entry from the Open Quantum Materials Database: H12PtN4Cl2 after structural relaxation (PBE-GGA).

Geometry as CIF:
```
data_H12PtN4Cl2
_symmetry_space_group_name_H-M 'I 4/m m m'
_symmetry_Int_Tables_number 139
_symmetry_space_group_name_Hall '-I 4 2'
_cell_length_a 9.974
_cell_length_b 9.974
_cell_length_c 8.343
_cell_angle_alpha 90.00
_cell_angle_beta 90.00
_cell_angle_gamma 90.00
loop_
_atom_site_label
_atom_site_fract_x
_atom_site_fract_y
_atom_site_fract_z
H1 0.000 0.238 0.168
H2 0.084 0.244 0.342
Pt1 0.000 0.000 0.289
N1 0.000 0.206 0.286
Cl1 0.231 0.231 0.000
```

Values from the calculation:
ΔE to the lowest computed polymorph = 0.000 eV/atom


# 4
Entry from the Open Quantum Materials Database: BaPuMo after structural relaxation (PBE-GGA).

Geometry as CIF:
```
data_BaPuMo
_symmetry_space_group_name_H-M 'F -4 3 m'
_symmetry_Int_Tables_number 216
_symmetry_space_group_name_Hall 'F -4 2 3'
_cell_length_a 7.162
_cell_length_b 7.162
_cell_length_c 7.162
_cell_angle_alpha 90.00
_cell_angle_beta 90.00
_cell_angle_gamma 90.00
loop_
_atom_site_label
_atom_site_fract_x
_atom_site_fract_y
_atom_site_fract_z
Ba1 0.000 0.000 0.000
Pu1 0.000 0.000 0.500
Mo1 0.250 0.250 0.250
```

Values from the calculation:
ΔE to the lowest computed polymorph = 0.000 eV/atom


| no. | calculated volume (A^3/atom) |
| --- | --- |
| 1 | 13.7 |
| 2 | 16.2 |
| 3 | 10.9 |
| 4 | 30.6 |